Below is a geometry-optimized BaTlFe3 structure, with properties calculated at the PBE-GGA level.

E_form   1.15 eV/atom
Calculated volume   133.22 Å³/cell
DFT total energy   -4.7834 eV per atom
Polymorph energy (0 for the lowest one)   0 meV/atom
Magnetic moment   8.887 μB per cell

The structure in extended XYZ format:
```
5
Lattice="5.1072 0.0000 0.0000 0.0000 5.1072 0.0000 0.0000 0.0000 5.1072" Properties=species:S:1:pos:R:3 pbc="T T T"
Fe 0.0000 2.5536 0.0000
Ba 2.5536 2.5536 2.5536
Fe 2.5536 0.0000 0.0000
Fe 0.0000 0.0000 2.5536
Tl 0.0000 0.0000 0.0000
```